Record 1
A plane-wave DFT calculation with PBE was carried out for a relaxed structure of TlPO4.

```
data_TlPO4
_chemical_formula_sum 'Tl4 P4 O16'
_cell_length_a 11.192
_cell_length_b 4.076
_cell_length_c 8.041
_cell_angle_alpha 90.00
_cell_angle_beta 96.27
_cell_angle_gamma 90.00
_space_group_name_H-M_alt 'C 1 2/m 1'
_space_group_IT_number 12
_space_group_name_Hall '-C 2y'
loop_
_atom_site_label
_atom_site_fract_x
_atom_site_fract_y
_atom_site_fract_z
_atom_site_occupancy
Tl1 0.186 0.000 0.246 1
P1 0.111 0.000 0.779 1
O1 0.014 0.000 0.324 1
O2 0.125 0.000 0.967 1
O3 0.128 0.500 0.768 1
O4 0.222 0.000 0.674 1
```

Energy relative to the elements, uncorrected, kJ/mol of atoms: -116.41
Total magnetization, μB per formula unit: 0.0
Raw total energy, eV per atom: -5.81

---

Record 2
A plane-wave DFT calculation with PBE was carried out for a relaxed structure of TlP2O.

```
data_TlP2O
_chemical_formula_sum 'Tl4 P8 O4'
_cell_length_a 6.384
_cell_length_b 6.384
_cell_length_c 6.384
_cell_angle_alpha 90.00
_cell_angle_beta 90.00
_cell_angle_gamma 90.00
_space_group_name_H-M_alt 'F m -3 m'
_space_group_IT_number 225
_space_group_name_Hall '-F 4 2 3'
loop_
_atom_site_label
_atom_site_fract_x
_atom_site_fract_y
_atom_site_fract_z
_atom_site_occupancy
Tl1 0.000 0.000 0.000 1
P1 0.250 0.250 0.250 1
O1 0.000 0.000 0.500 1
```

Energy relative to the elements, uncorrected, kJ/mol of atoms: 87.10
Total magnetization, μB per formula unit: 0.0
Raw total energy, eV per atom: -3.63
Energy relative to the lowest polymorph listed for this composition, eV per atom: 0.804

---

- Which value of energy relative to the elements, uncorrected does entry 1 give?
  -116.41 kJ/mol of atoms